i.
This record from the Alexandria database describes a relaxed structure of P2HRuS. The functional is PBE-GGA.

Cell: 3.628 3.628 4.622 Å, 90.00 90.00 90.00°
Element x y z (fractional)
Ru 0.500 0.500 0.500
S 0.000 0.000 0.500
H 0.000 0.000 0.000
P 0.000 0.500 0.000
P 0.500 0.000 0.000

Results
M_tot: 0.00 μB per formula unit
DOS at the Fermi energy: 0.696 states/eV per atom

ii.
This record from the Alexandria database describes a relaxed structure of P2HRuS. The functional is PBE-GGA.

Cell: 4.489 4.489 4.928 Å, 90.00 90.00 90.00°
Site moments in Bohr magnetons follow the coordinates.
Element x y z (fractional)
Ru 0.000 0.000 0.000  -0.45
S 0.000 0.000 0.500  -0.35
H 0.500 0.500 0.500  0.25
P 0.000 0.500 0.000  -0.02
P 0.500 0.000 0.000  -0.02

Results
M_tot: 0.54 μB per formula unit
DOS at the Fermi energy: 0.742 states/eV per atom

Stability summary: most stable i, least stable ii.

i.
This record from the Alexandria database describes a relaxed structure of SiPHRu. The functional is PBE-GGA.

Cell: 3.253 3.253 5.329 Å, 90.00 90.00 120.00°
Element x y z (fractional)
Si 0.333 0.667 0.567
P 0.000 0.000 0.804
H 0.667 0.333 0.180
Ru 0.000 0.000 0.245

Results
M_tot: 0.00 μB per formula unit
DOS at the Fermi energy: 0.742 states/eV per atom

ii.
This record from the Alexandria database describes a relaxed structure of SiPHRu. The functional is PBE-GGA.

Cell: 5.230 2.913 8.541 Å, 90.00 126.47 90.00°
Element x y z (fractional)
Si 0.083 0.000 0.288
Si 0.083 0.500 0.788
P 0.708 0.000 0.343
P 0.708 0.500 0.843
H 0.401 0.000 0.120
H 0.401 0.500 0.620
Ru 0.547 0.000 0.980
Ru 0.547 0.500 0.480

Results
M_tot: 0.00 μB per formula unit
DOS at the Fermi energy: 0.131 states/eV per atom

iii.
This record from the Alexandria database describes a relaxed structure of SiPHRu. The functional is PBE-GGA.

Cell: 5.892 2.964 7.574 Å, 90.00 95.22 90.00°
Element x y z (fractional)
Si 0.329 0.000 0.243
Si 0.329 0.500 0.743
P 0.670 0.000 0.854
P 0.670 0.500 0.354
H 0.074 0.000 0.246
H 0.074 0.500 0.746
Ru 0.545 0.000 0.554
Ru 0.545 0.500 0.054

Results
M_tot: 0.00 μB per formula unit
DOS at the Fermi energy: 0.040 states/eV per atom

Stability summary: most stable ii, least stable i.

i.
This record from the Alexandria database describes a relaxed structure of SiPHRu. The functional is PBE-GGA.

Cell: 5.899 2.865 6.694 Å, 90.00 112.02 90.00°
Element x y z (fractional)
Si 0.170 0.000 0.313
Si 0.170 0.500 0.813
P 0.586 0.000 0.358
P 0.586 0.500 0.858
H 0.264 0.000 0.555
H 0.264 0.500 0.055
Ru 0.803 0.000 0.722
Ru 0.803 0.500 0.222

Results
M_tot: 0.00 μB per formula unit
DOS at the Fermi energy: 0.252 states/eV per atom

ii.
This record from the Alexandria database describes a relaxed structure of SiPHRu. The functional is PBE-GGA.

Cell: 3.371 2.833 5.502 Å, 90.00 106.93 90.00°
Element x y z (fractional)
Si 0.574 0.500 0.058
P 0.907 0.500 0.490
H 0.290 0.500 0.432
Ru 0.979 0.000 0.843

Results
M_tot: 0.00 μB per formula unit
DOS at the Fermi energy: 0.208 states/eV per atom

Stability summary: most stable ii, least stable i.

i.
This record from the Alexandria database describes a relaxed structure of SiPHRu. The functional is PBE-GGA.

Cell: 5.611 2.929 8.086 Å, 90.00 131.29 90.00°
Element x y z (fractional)
Si 0.001 0.000 0.554
Si 0.001 0.500 0.054
P 0.388 0.000 0.543
P 0.388 0.500 0.043
H 0.852 0.000 0.185
H 0.852 0.500 0.685
Ru 0.559 0.000 0.911
Ru 0.559 0.500 0.411

Results
M_tot: 0.00 μB per formula unit
DOS at the Fermi energy: 0.095 states/eV per atom

ii.
This record from the Alexandria database describes a relaxed structure of SiPHRu. The functional is PBE-GGA.

Cell: 5.089 2.898 8.441 Å, 90.00 123.12 90.00°
Element x y z (fractional)
Si 0.570 0.000 0.849
Si 0.570 0.500 0.349
P 0.043 0.000 0.891
P 0.043 0.500 0.391
H 0.706 0.000 0.074
H 0.706 0.500 0.574
Ru 0.126 0.000 0.201
Ru 0.126 0.500 0.701

Results
M_tot: 0.00 μB per formula unit
DOS at the Fermi energy: 0.013 states/eV per atom

iii.
This record from the Alexandria database describes a relaxed structure of SiPHRu. The functional is PBE-GGA.

Cell: 3.482 4.584 6.531 Å, 90.00 107.93 90.00°
Element x y z (fractional)
Si 0.072 0.000 0.889
Si 0.072 0.500 0.389
P 0.442 0.000 0.658
P 0.442 0.500 0.158
H 0.776 0.000 0.193
H 0.776 0.500 0.693
Ru 0.298 0.000 0.271
Ru 0.298 0.500 0.771

Results
M_tot: 0.00 μB per formula unit
DOS at the Fermi energy: 0.231 states/eV per atom

iv.
This record from the Alexandria database describes a relaxed structure of SiPHRu. The functional is PBE-GGA.

Cell: 2.985 4.086 4.751 Å, 76.03 71.68 68.58°
Element x y z (fractional)
Si 0.512 0.929 0.002
P 0.296 0.846 0.516
H 0.087 0.411 0.370
Ru 0.912 0.400 0.730

Results
M_tot: 0.00 μB per formula unit
DOS at the Fermi energy: 0.087 states/eV per atom

Stability summary: most stable ii, least stable iii.

i.
This record from the Alexandria database describes a relaxed structure of SiPHRu. The functional is PBE-GGA.

Cell: 2.801 3.177 11.026 Å, 90.00 90.00 90.00°
Element x y z (fractional)
Si 0.500 0.000 0.838
Si 0.500 0.500 0.338
P 0.500 0.000 0.626
P 0.500 0.500 0.126
H 0.500 0.000 0.307
H 0.500 0.500 0.807
Ru 0.000 0.000 0.026
Ru 0.000 0.500 0.526

Results
M_tot: 0.00 μB per formula unit
DOS at the Fermi energy: 0.219 states/eV per atom

ii.
This record from the Alexandria database describes a relaxed structure of SiPHRu. The functional is PBE-GGA.

Cell: 2.862 2.965 11.075 Å, 90.00 90.00 90.00°
Element x y z (fractional)
Si 0.000 0.000 0.503
Si 0.500 0.500 0.003
P 0.000 0.500 0.689
P 0.500 0.000 0.189
H 0.000 0.000 0.908
H 0.500 0.500 0.408
Ru 0.000 0.500 0.311
Ru 0.500 0.000 0.811

Results
M_tot: 0.00 μB per formula unit
DOS at the Fermi energy: 0.411 states/eV per atom

Stability summary: most stable i, least stable ii.

i.
This record from the Alexandria database describes a relaxed structure of VP2HRu. The functional is PBE-GGA.

Cell: 4.174 3.192 4.174 Å, 90.00 90.00 90.00°
Element x y z (fractional)
Ru 0.000 0.500 0.000
H 0.000 0.000 0.000
P 0.000 0.000 0.500
P 0.500 0.000 0.000
V 0.500 0.500 0.500

Results
M_tot: 0.00 μB per formula unit
DOS at the Fermi energy: 0.511 states/eV per atom

ii.
This record from the Alexandria database describes a relaxed structure of VP2HRu. The functional is PBE-GGA.

Cell: 4.151 3.132 4.151 Å, 90.00 90.00 90.00°
Element x y z (fractional)
Ru 0.500 0.500 0.500
H 0.000 0.000 0.000
P 0.000 0.000 0.500
P 0.500 0.000 0.000
V 0.000 0.500 0.000

Results
M_tot: 0.00 μB per formula unit
DOS at the Fermi energy: 0.594 states/eV per atom

Stability summary: most stable ii, least stable i.